A relaxed Al2SiPb crystal, computed with PBE-GGA. Values from VASP.

## Properties
**Uncorrected formation energy**: 0.42 eV/atom

Quantum ESPRESSO input file:
```
&SYSTEM
  ibrav = 0, nat = 4, ntyp = 3
/
ATOMIC_SPECIES
Al 26.98 Al.upf
Si 28.09 Si.upf
Pb 207.20 Pb.upf
CELL_PARAMETERS angstrom
-2.129 2.129 4.560
2.129 -2.129 4.560
2.129 2.129 -4.560
ATOMIC_POSITIONS crystal
Al 0.000 0.000 0.000
Al 0.750 0.250 0.500
Si 0.500 0.500 0.000
Pb 0.250 0.750 0.500
```